The following is a DFT calculation (GGA-PBE) of a relaxed ScTiBeTc2 crystal.

Unit cell a=4.551 b=4.264 c=4.551 alpha=90.00 beta=90.00 gamma=90.00
Positions (direct):
1 Sc 0.000 0.000 0.000
2 Be 0.000 0.500 0.000
3 Tc 0.000 0.000 0.500
4 Tc 0.500 0.000 0.000
5 Ti 0.500 0.500 0.500

Results
As for the total energy: -6.309 eV/atom. As for the total moment: 0.00 μB per atom. Its formation energy from the elements is 7.14 eV/f.u. Its density of states at the Fermi level is 1.04 states/eV per atom.

---

The following is a DFT calculation (GGA-PBE) of a relaxed SrAcIr crystal.

Unit cell a=4.397 b=4.398 c=13.742 alpha=80.68 beta=80.79 gamma=60.01
Positions (direct):
1 Sr 0.351 0.283 0.015
2 Sr 0.588 0.531 0.292
3 Ac 0.179 0.119 0.523
4 Ac 0.760 0.695 0.784
5 Ir 0.880 0.821 0.419
6 Ir 0.060 0.993 0.888

Results
As for the total energy: -5.268 eV/atom. The energy relative to the lowest polymorph listed for this composition is 0 meV/atom. As for the total moment: 0.00 μB per atom. Its formation energy from the elements is -1.15 eV/f.u. Its density of states at the Fermi level is 0.47 states/eV per atom.

---

The following is a DFT calculation (GGA-PBE) of a relaxed NiPC3 crystal.

Unit cell a=3.585 b=3.585 c=3.585 alpha=90.00 beta=90.00 gamma=90.00
Positions (direct):
1 Ni 0.500 0.500 0.500
2 C 0.000 0.500 0.000
3 C 0.000 0.000 0.500
4 C 0.500 0.000 0.000
5 P 0.000 0.000 0.000

Results
As for the total energy: -5.746 eV/atom. The energy relative to the lowest polymorph listed for this composition is 0 meV/atom. As for the total moment: 0.00 μB per atom. Its formation energy from the elements is 10.13 eV/f.u. Its density of states at the Fermi level is 0.38 states/eV per atom.

---

The following is a DFT calculation (GGA-PBE) of a relaxed SnGe3Cl crystal.

Unit cell a=5.424 b=5.424 c=5.424 alpha=90.00 beta=90.00 gamma=90.00
Positions (direct):
1 Ge 0.000 0.500 0.000
2 Ge 0.000 0.000 0.500
3 Ge 0.500 0.000 0.000
4 Sn 0.000 0.000 0.000
5 Cl 0.500 0.500 0.500

Results
As for the total energy: -3.176 eV/atom. The energy relative to the lowest polymorph listed for this composition is 132 meV/atom. For the formation energy without anion corrections, the calculation gives 17.63 kcal/mol of atoms. As for the total moment: 0.00 μB per atom. Its density of states at the Fermi level is 1.13 states/eV per atom.